NdErHf after structural relaxation. Source: OQMD, functional GGA-PBE.

Cell: 5.2187 5.2187 5.2187 Å, 60.00 60.00 60.00°
Atoms (fractional coordinates):
Er1 0.2500 0.2500 0.2500
Hf1 0.0000 0.0000 0.0000
Nd1 0.7500 0.7500 0.7500

Computed properties:
Spin magnetization, μB/f.u.: 1.05
DFT total energy, eV per atom: -5.573
ΔE_f, eV/atom: 0.8543
Symmetry: F-43m (216)
Energy above the most stable polymorph in this dataset, eV/atom: 0.000



BeCu5As2 after structural relaxation. Source: OQMD, functional GGA-PBE.

Cell: 3.9822 3.9822 6.4188 Å, 90.00 90.00 90.00°
Atoms (fractional coordinates):
As1 0.0000 0.0000 0.0000
As2 0.5000 0.5000 0.5000
Be1 0.0000 0.0000 0.5000
Cu1 0.5000 0.5000 0.0000
Cu2 0.5000 0.0000 0.2637
Cu3 0.0000 0.5000 0.2637
Cu4 0.5000 0.0000 0.7363
Cu5 0.0000 0.5000 0.7363

Computed properties:
DFT total energy, eV per atom: -3.773
Symmetry: P4/mmm (123)



SmBO3 after structural relaxation. Source: OQMD, functional GGA-PBE.

Cell: 5.2533 5.2533 6.5104 Å, 90.00 90.00 120.00°
Atoms (fractional coordinates):
B1 0.3333 0.6667 0.2500
B2 0.6667 0.3333 0.7500
O1 0.1820 0.3639 0.2500
O2 0.1820 0.8180 0.2500
O3 0.6361 0.8180 0.2500
O4 0.3639 0.1820 0.7500
O5 0.8180 0.1820 0.7500
O6 0.8180 0.6361 0.7500
Sm1 0.0000 0.0000 0.0000
Sm2 0.0000 0.0000 0.5000

Computed properties:
Spin magnetization, μB/f.u.: 0.00
DFT total energy, eV per atom: -8.172
Symmetry: P6_3/mmc (194)



ZrGa2Ir2 after structural relaxation. Source: OQMD, functional GGA-PBE.

Cell: 5.7819 5.7819 5.7819 Å, 138.20 138.20 60.59°
Atoms (fractional coordinates):
Ga1 0.3822 0.3822 0.0000
Ga2 0.6178 0.6178 0.0000
Ir1 0.7500 0.2500 0.5000
Ir2 0.2500 0.7500 0.5000
Zr1 0.0000 0.0000 0.0000

Computed properties:
Spin magnetization, μB/f.u.: 0.00
DFT total energy, eV per atom: -6.946
Symmetry: I4/mmm (139)



TbPrGa6 after structural relaxation. Source: OQMD, functional GGA-PBE.

Cell: 6.3841 6.3841 4.5509 Å, 90.00 90.00 120.00°
Atoms (fractional coordinates):
Ga1 0.2871 0.1435 0.0000
Ga2 0.8565 0.1435 0.0000
Ga3 0.8565 0.7129 0.0000
Ga4 0.1469 0.2937 0.5000
Ga5 0.1469 0.8531 0.5000
Ga6 0.7063 0.8531 0.5000
Pr1 0.6667 0.3333 0.5000
Tb1 0.3333 0.6667 0.0000

Computed properties:
Spin magnetization, μB/f.u.: 0.00
DFT total energy, eV per atom: -4.005
Symmetry: P-6m2 (187)



GdTlTe after structural relaxation. Source: OQMD, functional GGA-PBE.

Cell: 5.2089 5.2089 5.2089 Å, 60.00 60.00 60.00°
Atoms (fractional coordinates):
Gd1 0.0000 0.0000 0.0000
Te1 0.2500 0.2500 0.2500
Tl1 0.7500 0.7500 0.7500

Computed properties:
Spin magnetization, μB/f.u.: 0.01
DFT total energy, eV per atom: -3.760
Symmetry: F-43m (216)
Energy above the most stable polymorph in this dataset, eV/atom: 0.041



What is the formula in the third record? SmBO3